Record 1
A relaxed structure of TiAl4Cr, computed with PBE.

Unit cell a=4.1864 b=4.1864 c=6.5278 alpha=90.00 beta=90.00 gamma=90.00
Last column: nearest neighbours and their distance in Å.
Sites, in units of the cell vectors:
1 Ti 0.0000 0.0000 0.0000  8 Al 2.73
2 Al 0.0000 0.5000 0.2695  2 Cr 2.58, 2 Ti 2.73
3 Al 0.0000 0.5000 0.7305  2 Cr 2.58, 2 Ti 2.73
4 Al 0.5000 0.0000 0.2695  2 Cr 2.58, 2 Ti 2.73
5 Al 0.5000 0.0000 0.7305  2 Cr 2.58, 2 Ti 2.73
6 Cr 0.5000 0.5000 0.5000  8 Al 2.58

Summary:
The total moment comes out at 0.599 μB/atom. The calculation puts the formation energy at 279 meV/atom. As for the space group: No. 123. For the density, the calculation gives 3.0 Mg/m³. The density of states at the Fermi level comes out at 4.6 states/eV per cell. The total DFT energy (no corrections) comes out at -30.82 eV/cell.

---

Record 2
A relaxed structure of TiAlCr4, computed with PBE.

Unit cell a=4.8158 b=4.8158 c=4.8158 alpha=60.00 beta=60.00 gamma=60.00
Last column: nearest neighbours and their distance in Å.
Sites, in units of the cell vectors:
1 Ti 0.0000 0.0000 0.0000  12 Cr 2.83, 4 Al 2.95
2 Al 0.7500 0.7500 0.7500  12 Cr 2.82, 4 Ti 2.95
3 Cr 0.3757 0.3757 0.3757  6 Cr 2.39-2.42
4 Cr 0.3757 0.3757 0.8728  6 Cr 2.39-2.42
5 Cr 0.3757 0.8728 0.3757  6 Cr 2.39-2.42
6 Cr 0.8728 0.3757 0.3757  6 Cr 2.39-2.42

Summary:
The total moment comes out at 0.000 μB/atom. The calculation puts the formation energy at -72 meV/atom. As for the space group: No. 216. For the density, the calculation gives 5.9 Mg/m³. The density of states at the Fermi level comes out at 7.0 states/eV per cell. The total DFT energy (no corrections) comes out at -50.56 eV/cell.

---

Record 3
A relaxed structure of TiAl2Cr2, computed with PBE.

Unit cell a=7.0006 b=7.0006 c=2.9816 alpha=90.00 beta=90.00 gamma=90.00
Last column: nearest neighbours and their distance in Å.
Sites, in units of the cell vectors:
1 Ti 0.0000 0.0000 0.0000  4 Al 2.75, 2 Ti 2.98, 8 Cr 3.00
2 Ti 0.5000 0.5000 0.0000  4 Al 2.75, 2 Ti 2.98, 8 Cr 3.00
3 Al 0.1290 0.3710 0.0000  6 Cr 2.49-2.58, 1 Al 2.55, 2 Ti 2.75
4 Al 0.3710 0.8710 0.0000  6 Cr 2.49-2.58, 1 Al 2.55, 2 Ti 2.75
5 Al 0.6290 0.1290 0.0000  6 Cr 2.49-2.58, 1 Al 2.55, 2 Ti 2.75
6 Al 0.8710 0.6290 0.0000  6 Cr 2.49-2.58, 1 Al 2.55, 2 Ti 2.75
7 Cr 0.1694 0.6694 0.5000  6 Al 2.49-2.58
8 Cr 0.3306 0.1694 0.5000  6 Al 2.49-2.58
9 Cr 0.6694 0.8306 0.5000  6 Al 2.49-2.58
10 Cr 0.8306 0.3306 0.5000  6 Al 2.49-2.58

Summary:
The total moment comes out at 0.475 μB/atom. The calculation puts the formation energy at -10 meV/atom. As for the space group: No. 127. For the density, the calculation gives 4.7 Mg/m³. The density of states at the Fermi level comes out at 6.0 states/eV per cell. The total DFT energy (no corrections) comes out at -69.35 eV/cell.

---

What did the third record say?
A relaxed structure of TiAl2Cr2, computed with PBE.

Unit cell a=7.0006 b=7.0006 c=2.9816 alpha=90.00 beta=90.00 gamma=90.00
Last column: nearest neighbours and their distance in Å.
Sites, in units of the cell vectors:
1 Ti 0.0000 0.0000 0.0000  4 Al 2.75, 2 Ti 2.98, 8 Cr 3.00
2 Ti 0.5000 0.5000 0.0000  4 Al 2.75, 2 Ti 2.98, 8 Cr 3.00
3 Al 0.1290 0.3710 0.0000  6 Cr 2.49-2.58, 1 Al 2.55, 2 Ti 2.75
4 Al 0.3710 0.8710 0.0000  6 Cr 2.49-2.58, 1 Al 2.55, 2 Ti 2.75
5 Al 0.6290 0.1290 0.0000  6 Cr 2.49-2.58, 1 Al 2.55, 2 Ti 2.75
6 Al 0.8710 0.6290 0.0000  6 Cr 2.49-2.58, 1 Al 2.55, 2 Ti 2.75
7 Cr 0.1694 0.6694 0.5000  6 Al 2.49-2.58
8 Cr 0.3306 0.1694 0.5000  6 Al 2.49-2.58
9 Cr 0.6694 0.8306 0.5000  6 Al 2.49-2.58
10 Cr 0.8306 0.3306 0.5000  6 Al 2.49-2.58

Summary:
The total moment comes out at 0.475 μB/atom. The calculation puts the formation energy at -10 meV/atom. As for the space group: No. 127. For the density, the calculation gives 4.7 Mg/m³. The density of states at the Fermi level comes out at 6.0 states/eV per cell. The total DFT energy (no corrections) comes out at -69.35 eV/cell.

---

Copy entry 2 word for word.
A relaxed structure of TiAlCr4, computed with PBE.

Unit cell a=4.8158 b=4.8158 c=4.8158 alpha=60.00 beta=60.00 gamma=60.00
Last column: nearest neighbours and their distance in Å.
Sites, in units of the cell vectors:
1 Ti 0.0000 0.0000 0.0000  12 Cr 2.83, 4 Al 2.95
2 Al 0.7500 0.7500 0.7500  12 Cr 2.82, 4 Ti 2.95
3 Cr 0.3757 0.3757 0.3757  6 Cr 2.39-2.42
4 Cr 0.3757 0.3757 0.8728  6 Cr 2.39-2.42
5 Cr 0.3757 0.8728 0.3757  6 Cr 2.39-2.42
6 Cr 0.8728 0.3757 0.3757  6 Cr 2.39-2.42

Summary:
The total moment comes out at 0.000 μB/atom. The calculation puts the formation energy at -72 meV/atom. As for the space group: No. 216. For the density, the calculation gives 5.9 Mg/m³. The density of states at the Fermi level comes out at 7.0 states/eV per cell. The total DFT energy (no corrections) comes out at -50.56 eV/cell.

---

Question: Which formula does entry 1 have?
Answer: TiAl4Cr

---

Question: What is the formula in the second record?
Answer: TiAlCr4